[1]
{
  "formula": "TlReRh2",
  "functional": "PBE-GGA",
  "state": "optimized geometry",
  "de_polymorph_kj_per_mol_atoms": 58.5,
  "sg": "I-42d, No. 122",
  "magmom_total_mub_per_cell": 0.00,
  "dos_ef_per_ev_atom": 0.5993,
  "rho_g_cm3": 13.37,
  "lattice": [[7.263, 0.000, 0.000], [0.000, 7.263, 0.000], [3.631, 3.631, 2.809]],
  "species": ["Re", "Re", "Rh", "Rh", "Rh", "Rh", "Tl", "Tl"],
  "frac_coords": [[0.500, 0.500, 0.000], [0.250, 0.750, 0.500], [0.580, 0.125, 0.250], [0.170, 0.625, 0.250], [0.875, 0.830, 0.750], [0.375, 0.420, 0.750], [0.750, 0.250, 0.500], [0.000, 0.000, 0.000]]
}


[2]
{
  "formula": "BaCd2SnAu4",
  "functional": "PBE-GGA",
  "state": "optimized geometry",
  "energy_ev_per_cell": -23.4,
  "sg": "R-3m, No. 166",
  "magmom_total_mub_per_cell": 0.00,
  "dos_ef_per_ev_atom": 0.4261,
  "rho_g_cm3": 10.69,
  "lattice": [[-0.188, -4.129, -2.310], [-0.491, -4.044, 2.414], [-10.325, -1.894, -0.627]],
  "species": ["Au", "Au", "Au", "Au", "Cd", "Cd", "Ba", "Sn"],
  "frac_coords": [[0.599, 0.599, 0.202], [0.874, 0.874, 0.379], [0.126, 0.126, 0.621], [0.401, 0.401, 0.798], [0.757, 0.757, 0.729], [0.243, 0.243, 0.271], [0.000, 0.000, 0.000], [0.500, 0.500, 0.500]]
}


[3]
{
  "formula": "MnZn2RhI",
  "functional": "PBE-GGA",
  "state": "optimized geometry",
  "sg": "P4/mmm, No. 123",
  "e_form_raw_mev_per_atom": 693,
  "magmom_total_mub_per_cell": 3.77,
  "dos_ef_per_ev_atom": 1.3055,
  "rho_g_cm3": 6.18,
  "lattice": [[4.864, 0.000, 0.000], [0.000, 4.717, 0.000], [0.000, 0.000, 4.864]],
  "species": ["I", "Rh", "Mn", "Zn", "Zn"],
  "frac_coords": [[0.500, 0.500, 0.500], [0.000, 0.500, 0.000], [0.000, 0.000, 0.000], [0.000, 0.000, 0.500], [0.500, 0.000, 0.000]]
}